[1]
The following is a GGA-PBE calculation of a relaxed Tb5Pm6Tm2 crystal, from Alexandria.

```
data_Tb5Pm6Tm2
_chemical_formula_sum 'Tb10 Pm12 Tm4'
_cell_length_a 11.661
_cell_length_b 20.593
_cell_length_c 3.607
_cell_angle_alpha 90.00
_cell_angle_beta 90.00
_cell_angle_gamma 90.00
_symmetry_space_group_name_H-M 'P b a m'
_symmetry_Int_Tables_number 55
_symmetry_space_group_name_Hall '-P 2 2ab'
loop_
_atom_site_label
_atom_site_type_symbol
_atom_site_fract_x
_atom_site_fract_y
_atom_site_fract_z
Tb1 Tb 0.000 0.000 0.000
Tb2 Tb 0.091 0.273 0.000
Tb3 Tb 0.197 0.555 0.000
Pm1 Pm 0.062 0.419 0.500
Pm2 Pm 0.084 0.132 0.500
Pm3 Pm 0.172 0.863 0.000
Tm1 Tm 0.167 0.710 0.500
```

D(E_F): 30.18 states/eV/cell
total energy: -4.561 eV per atom
total magnetic moment: 0.0000 μB per atom
calculated formation energy: 100 meV/atom
crystal system: orthorhombic

[2]
The following is a GGA-PBE calculation of a relaxed Tb3Pm4Tm5 crystal, from Alexandria.

```
data_Tb3Pm4Tm5
_chemical_formula_sum 'Tb6 Pm8 Tm10'
_cell_length_a 15.987
_cell_length_b 5.904
_cell_length_c 9.326
_cell_angle_alpha 90.00
_cell_angle_beta 116.61
_cell_angle_gamma 90.00
_symmetry_space_group_name_H-M 'C 1 2/m 1'
_symmetry_Int_Tables_number 12
_symmetry_space_group_name_Hall '-C 2y'
loop_
_atom_site_label
_atom_site_type_symbol
_atom_site_fract_x
_atom_site_fract_y
_atom_site_fract_z
Tb1 Tb 0.000 0.000 0.000
Tb2 Tb 0.212 0.500 0.238
Pm1 Pm 0.085 0.500 0.447
Pm2 Pm 0.214 0.500 0.883
Tm1 Tm 0.000 0.500 0.000
Tm2 Tm 0.070 0.000 0.700
Tm3 Tm 0.171 0.000 0.383
```

D(E_F): 38.39 states/eV/cell
total energy: -4.371 eV per atom
total magnetic moment: 0.0404 μB per atom
calculated formation energy: 233 meV/atom
crystal system: monoclinic

[3]
The following is a GGA-PBE calculation of a relaxed Tb2Pm2Tm3 crystal, from Alexandria.

```
data_Tb2Pm2Tm3
_chemical_formula_sum 'Tb8 Pm8 Tm12'
_cell_length_a 9.688
_cell_length_b 9.688
_cell_length_c 9.688
_cell_angle_alpha 90.00
_cell_angle_beta 90.00
_cell_angle_gamma 90.00
_symmetry_space_group_name_H-M 'I 21 3'
_symmetry_Int_Tables_number 199
_symmetry_space_group_name_Hall 'I 2b 2c 3'
loop_
_atom_site_label
_atom_site_type_symbol
_atom_site_fract_x
_atom_site_fract_y
_atom_site_fract_z
Tb1 Tb 0.041 0.041 0.041
Pm1 Pm 0.157 0.343 0.657
Tm1 Tm 0.000 0.250 0.304
```

D(E_F): 36.82 states/eV/cell
relative energy among the computed polymorphs: 204.5 meV per atom
total energy: -4.372 eV per atom
total magnetic moment: 0.0000 μB per atom
calculated formation energy: 224 meV/atom
crystal system: cubic

[4]
The following is a GGA-PBE calculation of a relaxed Tb5Pm8Tm crystal, from Alexandria.

```
data_Tb5Pm8Tm
_chemical_formula_sum 'Tb10 Pm16 Tm2'
_cell_length_a 9.696
_cell_length_b 9.696
_cell_length_c 10.213
_cell_angle_alpha 90.00
_cell_angle_beta 90.00
_cell_angle_gamma 90.00
_symmetry_space_group_name_H-M 'I -4'
_symmetry_Int_Tables_number 82
_symmetry_space_group_name_Hall 'I -4'
loop_
_atom_site_label
_atom_site_type_symbol
_atom_site_fract_x
_atom_site_fract_y
_atom_site_fract_z
Tb1 Tb 0.000 0.000 0.000
Tb2 Tb 0.107 0.793 0.425
Pm1 Pm 0.069 0.674 0.094
Pm2 Pm 0.087 0.821 0.754
Tm1 Tm 0.000 0.500 0.750
```

D(E_F): 41.09 states/eV/cell
total energy: -4.434 eV per atom
total magnetic moment: 0.0000 μB per atom
calculated formation energy: 254 meV/atom
crystal system: tetragonal

[5]
The following is a GGA-PBE calculation of a relaxed Tb3Pm12Tm crystal, from Alexandria.

```
data_Tb3Pm12Tm
_chemical_formula_sum 'Tb3 Pm12 Tm1'
_cell_length_a 5.125
_cell_length_b 5.125
_cell_length_c 20.455
_cell_angle_alpha 90.00
_cell_angle_beta 90.00
_cell_angle_gamma 90.00
_symmetry_space_group_name_H-M 'P 4/m m m'
_symmetry_Int_Tables_number 123
_symmetry_space_group_name_Hall '-P 4 2'
loop_
_atom_site_label
_atom_site_type_symbol
_atom_site_fract_x
_atom_site_fract_y
_atom_site_fract_z
Tb1 Tb 0.000 0.000 0.000
Tb2 Tb 0.000 0.000 0.251
Pm1 Pm 0.000 0.500 0.125
Pm2 Pm 0.000 0.500 0.376
Pm3 Pm 0.500 0.500 0.000
Pm4 Pm 0.500 0.500 0.251
Pm5 Pm 0.500 0.500 0.500
Tm1 Tm 0.000 0.000 0.500
```

D(E_F): 23.91 states/eV/cell
total energy: -4.696 eV per atom
total magnetic moment: 0.0000 μB per atom
calculated formation energy: 15 meV/atom
crystal system: tetragonal

[6]
The following is a GGA-PBE calculation of a relaxed Tb5PmTm5 crystal, from Alexandria.

```
data_Tb5PmTm5
_chemical_formula_sum 'Tb10 Pm2 Tm10'
_cell_length_a 18.760
_cell_length_b 5.864
_cell_length_c 6.931
_cell_angle_alpha 90.00
_cell_angle_beta 111.31
_cell_angle_gamma 90.00
_symmetry_space_group_name_H-M 'C 1 2/m 1'
_symmetry_Int_Tables_number 12
_symmetry_space_group_name_Hall '-C 2y'
loop_
_atom_site_label
_atom_site_type_symbol
_atom_site_fract_x
_atom_site_fract_y
_atom_site_fract_z
Tb1 Tb 0.000 0.000 0.000
Tb2 Tb 0.179 0.500 0.425
Tb3 Tb 0.179 0.500 0.934
Pm1 Pm 0.000 0.500 0.000
Tm1 Tm 0.000 0.500 0.500
Tm2 Tm 0.124 0.000 0.627
Tm3 Tm 0.169 0.000 0.171
```

D(E_F): 34.91 states/eV/cell
relative energy among the computed polymorphs: 133.3 meV per atom
total energy: -4.290 eV per atom
total magnetic moment: 0.0549 μB per atom
calculated formation energy: 279 meV/atom
crystal system: monoclinic

[7]
The following is a GGA-PBE calculation of a relaxed Tb12Pm3Tm crystal, from Alexandria.

```
data_Tb12Pm3Tm
_chemical_formula_sum 'Tb12 Pm3 Tm1'
_cell_length_a 5.052
_cell_length_b 5.052
_cell_length_c 20.201
_cell_angle_alpha 90.00
_cell_angle_beta 90.00
_cell_angle_gamma 90.00
_symmetry_space_group_name_H-M 'P 4/m m m'
_symmetry_Int_Tables_number 123
_symmetry_space_group_name_Hall '-P 4 2'
loop_
_atom_site_label
_atom_site_type_symbol
_atom_site_fract_x
_atom_site_fract_y
_atom_site_fract_z
Tb1 Tb 0.000 0.000 0.000
Tb2 Tb 0.000 0.000 0.248
Tb3 Tb 0.000 0.000 0.500
Tb4 Tb 0.000 0.500 0.123
Tb5 Tb 0.000 0.500 0.374
Pm1 Pm 0.500 0.500 0.249
Pm2 Pm 0.500 0.500 0.500
Tm1 Tm 0.500 0.500 0.000
```

D(E_F): 22.08 states/eV/cell
total energy: -4.625 eV per atom
total magnetic moment: 0.0000 μB per atom
calculated formation energy: 17 meV/atom
crystal system: tetragonal

[8]
The following is a GGA-PBE calculation of a relaxed Tb3Pm2Tm crystal, from Alexandria.

```
data_Tb3Pm2Tm
_chemical_formula_sum 'Tb12 Pm8 Tm4'
_cell_length_a 17.076
_cell_length_b 5.661
_cell_length_c 9.740
_cell_angle_alpha 90.00
_cell_angle_beta 124.66
_cell_angle_gamma 90.00
_symmetry_space_group_name_H-M 'C 1 2/m 1'
_symmetry_Int_Tables_number 12
_symmetry_space_group_name_Hall '-C 2y'
loop_
_atom_site_label
_atom_site_type_symbol
_atom_site_fract_x
_atom_site_fract_y
_atom_site_fract_z
Tb1 Tb 0.002 0.000 0.170
Tb2 Tb 0.124 0.500 0.118
Tb3 Tb 0.249 0.500 0.909
Pm1 Pm 0.002 0.500 0.337
Pm2 Pm 0.249 0.500 0.572
Tm1 Tm 0.125 0.000 0.632
```

D(E_F): 40.19 states/eV/cell
relative energy among the computed polymorphs: 0.0 meV per atom
total energy: -4.581 eV per atom
total magnetic moment: 0.0000 μB per atom
calculated formation energy: 63 meV/atom
crystal system: monoclinic